No. 1
Compound: Pu2Ga3CuPd4
Source: Alexandria
Functional: PBE
Structure: optimized geometry

Cell lengths 4.090, 4.090, 11.217 Å; angles 90.00, 90.00, 90.00 degrees
Space group P-4m2 (No. 115)
One atom of each set of equivalent atoms:
1 Pu 0.000 0.500 0.239
2 Ga 0.000 0.000 0.000
3 Ga 0.000 0.500 0.634
4 Cu 0.500 0.500 0.000
5 Pd 0.000 0.000 0.500
6 Pd 0.000 0.500 0.857
7 Pd 0.500 0.500 0.500

***

No. 2
Compound: GdHfRu4
Source: Alexandria
Functional: PBE
Structure: optimized geometry

Cell lengths 7.456, 7.456, 7.456 Å; angles 90.00, 90.00, 90.00 degrees
Space group F-43m (No. 216)
One atom of each set of equivalent atoms:
1 Gd 0.000 0.000 0.000
2 Hf 0.250 0.250 0.750
3 Ru 0.125 0.125 0.375

***

No. 3
Compound: ZnRh2Au
Source: Alexandria
Functional: PBE
Structure: optimized geometry

Cell lengths 5.703, 7.236, 2.929 Å; angles 90.00, 90.00, 90.00 degrees
Space group Cmmm (No. 65)
One atom of each set of equivalent atoms:
1 Zn 0.000 0.000 0.000
2 Rh 0.250 0.250 0.500
3 Au 0.000 0.500 0.000

***

No. 4
Compound: Ba7Na3Pd2
Source: Alexandria
Functional: PBE
Structure: optimized geometry

Cell lengths 6.353, 30.982, 6.312 Å; angles 90.00, 90.00, 90.00 degrees
Space group Cmmm (No. 65)
One atom of each set of equivalent atoms:
1 Ba 0.000 0.000 0.000
2 Ba 0.000 0.101 0.500
3 Ba 0.000 0.203 0.000
4 Ba 0.000 0.396 0.000
5 Na 0.000 0.298 0.500
6 Na 0.000 0.500 0.500
7 Pd 0.000 0.103 0.000

***

What did we get for ΔE_f? Answer: -0.517; -0.271; -0.043; -0.206 eV/atom, in the order shown.